Record 1
Mg2H32Ru2Cl10O17 | GGA-PBEsol | optimized geometry

Calculated values
Calculated density in g/cm3: 2.19
Raw total energy in eV/f.u.: -308.1

Cell and atoms, written as CIF:
```
data_Mg2H32Ru2Cl10O17
_chemical_formula_sum 'Mg4 H64 Ru4 Cl20 O34'
_space_group_name_H-M_alt 'P 1 21/c 1'
_space_group_IT_number 14
_cell_length_a 8.2619
_cell_length_b 16.3059
_cell_length_c 10.3148
_cell_angle_alpha 90.00
_cell_angle_beta 96.17
_cell_angle_gamma 90.00
loop_
_space_group_symop_operation_xyz
'x,y,z'
'-x,-y,-z'
'-x,y+1/2,-z+1/2'
'x,-y+1/2,z+1/2'
loop_
_atom_site_label
_atom_site_type_symbol
_atom_site_fract_x
_atom_site_fract_y
_atom_site_fract_z
_atom_site_occupancy
Mg1 Mg 0.0138 0.1869 0.2524 1
H1 H 0.0727 0.6764 0.8840 1
H2 H 0.0775 0.5352 0.2160 1
H3 H 0.0817 0.0498 0.3854 1
H4 H 0.0949 0.1567 0.7085 1
H5 H 0.1264 0.2130 0.5057 1
H6 H 0.1593 0.6177 0.4783 1
H7 H 0.1865 0.1200 0.0630 1
H8 H 0.2179 0.7105 0.6622 1
H9 H 0.2253 0.7007 0.0963 1
H10 H 0.2419 0.5864 0.9710 1
H11 H 0.2657 0.2504 0.4272 1
H12 H 0.2679 0.6648 0.3876 1
H13 H 0.3046 0.0439 0.5331 1
H14 H 0.3054 0.1198 0.1925 1
H15 H 0.3357 0.6600 0.9147 1
H16 H 0.3412 0.0239 0.3903 1
Ru1 Ru 0.4779 0.0611 0.8578 1
Cl1 Cl 0.1896 0.0623 0.8561 1
Cl2 Cl 0.2424 0.5708 0.6611 1
Cl3 Cl 0.4317 0.1356 0.6651 1
Cl4 Cl 0.4719 0.5584 0.2261 1
Cl5 Cl 0.4891 0.1864 0.9688 1
O1 O 0.0214 0.5757 0.1561 1
O2 O 0.0378 0.1998 0.6535 1
O3 O 0.1540 0.6516 0.3983 1
O4 O 0.1641 0.2177 0.4170 1
O5 O 0.1924 0.7312 0.1743 1
O6 O 0.1991 0.1412 0.1530 1
O7 O 0.2389 0.6482 0.9603 1
O8 O 0.2602 0.0138 0.4537 1
O9 O 0.5000 0.0000 0.0000 1
```



Record 2
Na2Ta2Bi | GGA-PBEsol | optimized geometry

Calculated values
Calculated density in g/cm3: 7.33
ΔH_f (0 K) in meV/atom: 713
Raw total energy in eV/f.u.: -28.6

Cell and atoms, written as CIF:
```
data_Na2Ta2Bi
_chemical_formula_sum 'Na4 Ta4 Bi2'
_space_group_name_H-M_alt 'I 4/m m m'
_space_group_IT_number 139
_space_group_name_Hall '-I 4 2'
_cell_length_a 3.5970
_cell_length_b 3.5970
_cell_length_c 21.6064
_cell_angle_alpha 90.00
_cell_angle_beta 90.00
_cell_angle_gamma 90.00
loop_
_atom_site_label
_atom_site_type_symbol
_atom_site_fract_x
_atom_site_fract_y
_atom_site_fract_z
_atom_site_occupancy
Na1 Na 0.0000 0.0000 0.1100 1
Ta1 Ta 0.0000 0.5000 0.2500 1
Bi1 Bi 0.0000 0.0000 0.5000 1
```



Record 3
CdFePb2 | GGA-PBEsol | optimized geometry

Calculated values
Calculated density in g/cm3: 10.72
ΔH_f (0 K) in meV/atom: 555
Raw total energy in eV/f.u.: -15.9

Cell and atoms, written as CIF:
```
data_CdFePb2
_chemical_formula_sum 'Cd4 Fe4 Pb8'
_space_group_name_H-M_alt 'F m -3 m'
_space_group_IT_number 225
_space_group_name_Hall '-F 4 2 3'
_cell_length_a 7.1200
_cell_length_b 7.1200
_cell_length_c 7.1200
_cell_angle_alpha 90.00
_cell_angle_beta 90.00
_cell_angle_gamma 90.00
loop_
_atom_site_label
_atom_site_type_symbol
_atom_site_fract_x
_atom_site_fract_y
_atom_site_fract_z
_atom_site_occupancy
Cd1 Cd 0.0000 0.0000 0.0000 1
Fe1 Fe 0.0000 0.0000 0.5000 1
Pb1 Pb 0.2500 0.2500 0.2500 1
```



Record 4
TlMo2Pt | GGA-PBEsol | optimized geometry

Calculated values
Calculated density in g/cm3: 14.61
ΔH_f (0 K) in meV/atom: 267
Raw total energy in eV/f.u.: -32.1

Cell and atoms, written as CIF:
```
data_TlMo2Pt
_chemical_formula_sum 'Tl1 Mo2 Pt1'
_space_group_name_H-M_alt 'P 1 m 1'
_space_group_IT_number 6
_cell_length_a 2.8339
_cell_length_b 4.0584
_cell_length_c 5.8482
_cell_angle_alpha 90.00
_cell_angle_beta 92.35
_cell_angle_gamma 90.00
loop_
_space_group_symop_operation_xyz
'x,y,z'
'x,-y,z'
loop_
_atom_site_label
_atom_site_type_symbol
_atom_site_fract_x
_atom_site_fract_y
_atom_site_fract_z
_atom_site_occupancy
Tl1 Tl 0.0000 0.0000 0.0000 1
Mo1 Mo 0.0917 0.0000 0.5072 1
Mo2 Mo 0.4382 0.5000 0.7206 1
Pt1 Pt 0.5456 0.5000 0.2604 1
```



Record 5
LaBe4In | GGA-PBEsol | optimized geometry

Calculated values
Calculated density in g/cm3: 5.18
ΔH_f (0 K) in meV/atom: 342
Raw total energy in eV/f.u.: -22.3

Cell and atoms, written as CIF:
```
data_LaBe4In
_chemical_formula_sum 'La4 Be16 In4'
_space_group_name_H-M_alt 'F -4 3 m'
_space_group_IT_number 216
_space_group_name_Hall 'F -4 2 3'
_cell_length_a 7.1890
_cell_length_b 7.1890
_cell_length_c 7.1890
_cell_angle_alpha 90.00
_cell_angle_beta 90.00
_cell_angle_gamma 90.00
loop_
_atom_site_label
_atom_site_type_symbol
_atom_site_fract_x
_atom_site_fract_y
_atom_site_fract_z
_atom_site_occupancy
La1 La 0.0000 0.0000 0.0000 1
Be1 Be 0.1355 0.1355 0.6355 1
In1 In 0.2500 0.2500 0.2500 1
```



Record 6
MoC2 | GGA-PBEsol | optimized geometry

Calculated values
Calculated density in g/cm3: 6.92
ΔH_f (0 K) in meV/atom: 749
Raw total energy in eV/f.u.: -28.8

Cell and atoms, written as CIF:
```
data_MoC2
_chemical_formula_sum 'Mo2 C4'
_space_group_name_H-M_alt 'I m m m'
_space_group_IT_number 71
_space_group_name_Hall '-I 2 2'
_cell_length_a 2.8870
_cell_length_b 4.3497
_cell_length_c 4.5830
_cell_angle_alpha 90.00
_cell_angle_beta 90.00
_cell_angle_gamma 90.00
loop_
_atom_site_label
_atom_site_type_symbol
_atom_site_fract_x
_atom_site_fract_y
_atom_site_fract_z
_atom_site_occupancy
Mo1 Mo 0.0000 0.0000 0.0000 1
C1 C 0.0000 0.5000 0.1483 1
```



Record 7
Os3SeCl | GGA-PBEsol | optimized geometry

Calculated values
Calculated density in g/cm3: 11.92
Raw total energy in eV/f.u.: -30.9

Cell and atoms, written as CIF:
```
data_Os3SeCl
_chemical_formula_sum 'Os3 Se1 Cl1'
_space_group_name_H-M_alt 'P m -3 m'
_space_group_IT_number 221
_space_group_name_Hall '-P 4 2 3'
_cell_length_a 4.5697
_cell_length_b 4.5697
_cell_length_c 4.5697
_cell_angle_alpha 90.00
_cell_angle_beta 90.00
_cell_angle_gamma 90.00
loop_
_atom_site_label
_atom_site_type_symbol
_atom_site_fract_x
_atom_site_fract_y
_atom_site_fract_z
_atom_site_occupancy
Os1 Os 0.0000 0.0000 0.5000 1
Se1 Se 0.0000 0.0000 0.0000 1
Cl1 Cl 0.5000 0.5000 0.5000 1
```



Record 8
K2SiPd | GGA-PBEsol | optimized geometry

Calculated values
Calculated density in g/cm3: 2.07
Raw total energy in eV/f.u.: -13.9

Cell and atoms, written as CIF:
```
data_K2SiPd
_chemical_formula_sum 'K8 Si4 Pd4'
_space_group_name_H-M_alt 'I -4 2 d'
_space_group_IT_number 122
_space_group_name_Hall 'I -4 2bw'
_cell_length_a 12.2930
_cell_length_b 12.2930
_cell_length_c 4.5203
_cell_angle_alpha 90.00
_cell_angle_beta 90.00
_cell_angle_gamma 90.00
loop_
_atom_site_label
_atom_site_type_symbol
_atom_site_fract_x
_atom_site_fract_y
_atom_site_fract_z
_atom_site_occupancy
K1 K 0.0369 0.2500 0.1250 1
Si1 Si 0.0000 0.0000 0.5000 1
Pd1 Pd 0.0000 0.0000 0.0000 1
```



Record 9
BaCu2As2O8 | GGA-PBEsol | optimized geometry

Calculated values
Calculated density in g/cm3: 4.95
Raw total energy in eV/f.u.: -80.5

Cell and atoms, written as CIF:
```
data_BaCu2As2O8
_chemical_formula_sum 'Ba2 Cu4 As4 O16'
_space_group_name_H-M_alt 'P 1 21/c 1'
_space_group_IT_number 14
_cell_length_a 4.6778
_cell_length_b 8.7344
_cell_length_c 9.8935
_cell_angle_alpha 90.00
_cell_angle_beta 115.95
_cell_angle_gamma 90.00
loop_
_space_group_symop_operation_xyz
'x,y,z'
'-x,-y,-z'
'-x,y+1/2,-z+1/2'
'x,-y+1/2,z+1/2'
loop_
_atom_site_label
_atom_site_type_symbol
_atom_site_fract_x
_atom_site_fract_y
_atom_site_fract_z
_atom_site_occupancy
Ba1 Ba 0.0000 0.0000 0.0000 1
Cu1 Cu 0.1120 0.0808 0.6551 1
As1 As 0.3744 0.1832 0.4236 1
O1 O 0.0766 0.0857 0.2790 1
O2 O 0.2715 0.5932 0.0360 1
O3 O 0.3164 0.2264 0.5800 1
O4 O 0.3914 0.1309 0.8644 1
```



Record 10
BRh3Pb | GGA-PBEsol | optimized geometry

Calculated values
Calculated density in g/cm3: 12.39
ΔH_f (0 K) in meV/atom: -195
Raw total energy in eV/f.u.: -36.4

Cell and atoms, written as CIF:
```
data_BRh3Pb
_chemical_formula_sum 'B1 Rh3 Pb1'
_space_group_name_H-M_alt 'P m -3 m'
_space_group_IT_number 221
_space_group_name_Hall '-P 4 2 3'
_cell_length_a 4.1332
_cell_length_b 4.1332
_cell_length_c 4.1332
_cell_angle_alpha 90.00
_cell_angle_beta 90.00
_cell_angle_gamma 90.00
loop_
_atom_site_label
_atom_site_type_symbol
_atom_site_fract_x
_atom_site_fract_y
_atom_site_fract_z
_atom_site_occupancy
B1 B 0.0000 0.0000 0.0000 1
Rh1 Rh 0.0000 0.0000 0.5000 1
Pb1 Pb 0.5000 0.5000 0.5000 1
```



Record 11
FeIr2 | GGA-PBEsol | optimized geometry

Calculated values
Calculated density in g/cm3: 18.68
ΔH_f (0 K) in meV/atom: -29
Raw total energy in eV/f.u.: -28.7

Cell and atoms, written as CIF:
```
data_FeIr2
_chemical_formula_sum 'Fe4 Ir8'
_space_group_name_H-M_alt 'C 1 2/m 1'
_space_group_IT_number 12
_cell_length_a 9.6489
_cell_length_b 2.6850
_cell_length_c 6.2497
_cell_angle_alpha 90.00
_cell_angle_beta 104.73
_cell_angle_gamma 90.00
loop_
_space_group_symop_operation_xyz
'x,y,z'
'-x,-y,-z'
'-x,y,-z'
'x,-y,z'
'x+1/2,y+1/2,z'
'-x+1/2,-y+1/2,-z'
'-x+1/2,y+1/2,-z'
'x+1/2,-y+1/2,z'
loop_
_atom_site_label
_atom_site_type_symbol
_atom_site_fract_x
_atom_site_fract_y
_atom_site_fract_z
_atom_site_occupancy
Fe1 Fe 0.0290 0.0000 0.3073 1
Ir1 Ir 0.1366 0.5000 0.0290 1
Ir2 Ir 0.1878 0.5000 0.6321 1
```



Record 12
NaCaMo3 | GGA-PBEsol | optimized geometry

Calculated values
Calculated density in g/cm3: 5.70
ΔH_f (0 K) in meV/atom: 2564
Raw total energy in eV/f.u.: -26.0

Cell and atoms, written as CIF:
```
data_NaCaMo3
_chemical_formula_sum 'Na1 Ca1 Mo3'
_space_group_name_H-M_alt 'P m -3 m'
_space_group_IT_number 221
_space_group_name_Hall '-P 4 2 3'
_cell_length_a 4.6756
_cell_length_b 4.6756
_cell_length_c 4.6756
_cell_angle_alpha 90.00
_cell_angle_beta 90.00
_cell_angle_gamma 90.00
loop_
_atom_site_label
_atom_site_type_symbol
_atom_site_fract_x
_atom_site_fract_y
_atom_site_fract_z
_atom_site_occupancy
Na1 Na 0.0000 0.0000 0.0000 1
Ca1 Ca 0.5000 0.5000 0.5000 1
Mo1 Mo 0.0000 0.0000 0.5000 1
```